1.
The following is a DFT calculation (PBE-GGA) of an optimized crystal structure of GeB4Au.

Lattice parameters (Å, degrees): 3.0474 3.0474 7.8689 90.00 90.00 120.00
With the nearest neighbours (Å) after each atom.
Fractional positions:
Au 0.0000 0.0000 0.0000  12 B 2.73, 6 Au 3.05
B 0.6667 0.3333 0.2655  3 B 1.76
B 0.3333 0.6667 0.2655  3 B 1.76
B 0.6667 0.3333 0.7345  3 B 1.76
B 0.3333 0.6667 0.7345  3 B 1.76
Ge 0.0000 0.0000 0.5000  12 B 2.55

Values from the calculation:
- energy above the lowest structure with this stoichiometry (eV per atom) = 0.000

=====

2.
The following is a DFT calculation (PBE-GGA) of an optimized crystal structure of GeB4Au.

Lattice parameters (Å, degrees): 4.9590 4.9590 4.9590 143.66 115.46 76.39
With the nearest neighbours (Å) after each atom.
Fractional positions:
Au 0.5000 0.5000 0.0000  12 B 2.57-2.69
B 0.5877 0.2579 0.3298  3 B 1.77-1.80
B 0.0719 0.7421 0.3298  3 B 1.77-1.80
B 0.9281 0.2579 0.6702  3 B 1.77-1.80
B 0.4123 0.7421 0.6702  3 B 1.77-1.80
Ge 0.0000 0.0000 0.0000  12 B 2.60-2.66

Values from the calculation:
- energy above the lowest structure with this stoichiometry (eV per atom) = 0.017

=====

3.
The following is a DFT calculation (PBE-GGA) of an optimized crystal structure of Ge2BAu.

Lattice parameters (Å, degrees): 4.5067 4.5067 4.5067 60.00 60.00 60.00
With the nearest neighbours (Å) after each atom.
Fractional positions:
Au 0.2500 0.2500 0.2500  4 Ge 2.76, 4 B 2.76
B 0.5000 0.5000 0.5000  4 Ge 2.76, 4 Au 2.76
Ge 0.0000 0.0000 0.0000  4 Ge 2.76, 4 Au 2.76
Ge 0.7500 0.7500 0.7500  4 Ge 2.76, 4 B 2.76

Values from the calculation:
- DFT total energy (eV per atom) = -3.851